[1]
{
  "formula": "ScTa2Se6",
  "functional": "PBE",
  "state": "optimized geometry",
  "relative_energy_kj_per_mol_atoms": 25.8,
  "formation_energy_uncorrected_mev_per_atom": -737,
  "cell": [[-1.667, -4.407, 0.368], [3.312, -4.144, -4.269], [5.655, -4.289, 4.600]],
  "species": ["Se", "Se", "Se", "Se", "Se", "Se", "Ta", "Ta", "Sc"],
  "frac_coords": [[0.355, 0.676, 0.614], [0.645, 0.324, 0.386], [0.699, 0.652, 0.950], [0.975, 0.830, 0.220], [0.301, 0.348, 0.050], [0.025, 0.170, 0.780], [0.158, 0.785, 0.900], [0.842, 0.215, 0.100], [0.000, 0.500, 0.500]]
}

[2]
{
  "formula": "Ca3Sb2F",
  "functional": "PBE",
  "state": "optimized geometry",
  "relative_energy_kj_per_mol_atoms": 15.1,
  "formation_energy_uncorrected_mev_per_atom": -1534,
  "cell": [[-5.245, -3.819, -1.816], [4.024, -5.678, 0.321], [-2.602, 0.510, 6.443]],
  "species": ["F", "F", "Ca", "Ca", "Ca", "Ca", "Ca", "Ca", "Sb", "Sb", "Sb", "Sb"],
  "frac_coords": [[0.761, 0.920, 0.920], [0.261, 0.080, 0.080], [0.011, 0.167, 0.833], [0.262, 0.355, 0.355], [0.511, 0.833, 0.167], [0.511, 0.167, 0.833], [0.762, 0.645, 0.645], [0.011, 0.833, 0.167], [0.761, 0.454, 0.162], [0.261, 0.546, 0.838], [0.261, 0.838, 0.546], [0.761, 0.162, 0.454]]
}

[3]
{
  "formula": "SmHoAs2Rh5",
  "functional": "PBE",
  "state": "optimized geometry",
  "delta_e_f_ev_per_fu": -6.833,
  "cell": [[4.257, 0.000, 0.000], [0.000, 4.257, 0.000], [0.000, 0.000, 8.800]],
  "species": ["As", "As", "Rh", "Rh", "Rh", "Rh", "Rh", "Sm", "Ho"],
  "frac_coords": [[0.500, 0.500, 0.146], [0.500, 0.500, 0.854], [0.000, 0.500, 0.264], [0.500, 0.000, 0.736], [0.500, 0.000, 0.264], [0.500, 0.500, 0.500], [0.000, 0.500, 0.736], [0.000, 0.000, 0.500], [0.000, 0.000, 0.000]]
}

Number 1: calculated volume 26.580 Å³ per atom, ρ 6.11 g/cm3. Number 2: calculated volume 26.503 Å³ per atom, ρ 4.00 g/cm3. Number 3: calculated volume 17.722 Å³ per atom, ρ 10.20 g/cm3.